[1]
Pa3Ni6Ge2 | Alexandria via LeMat-Bulk | PBE | relaxed; D(E_F) = 29.33 states/eV/cell; DFT formation energy = -0.5291 eV per atom; space group = Im-3m, No. 229
1.0
-0.7666 4.9138 -5.7847
3.5800 -6.2748 -2.4511
-6.8946 -1.8838 2.6670
Pa Ge Ni
6 4 12
direct
0.0000 0.2779 0.2779 Pa
0.2779 0.0000 0.2779 Pa
0.7221 0.0000 0.7221 Pa
0.2779 0.2779 0.0000 Pa
0.0000 0.7221 0.7221 Pa
0.7221 0.7221 0.0000 Pa
0.5000 0.5000 0.5000 Ge
0.0000 0.0000 0.5000 Ge
0.0000 0.5000 0.0000 Ge
0.5000 0.0000 0.0000 Ge
0.6535 0.3069 0.6535 Ni
0.6535 0.6535 0.3069 Ni
0.3465 0.0000 0.6535 Ni
0.3069 0.6535 0.6535 Ni
0.0000 0.6535 0.3465 Ni
0.3465 0.6931 0.3465 Ni
0.6535 0.0000 0.3465 Ni
0.6931 0.3465 0.3465 Ni
0.0000 0.3465 0.6535 Ni
0.3465 0.3465 0.6931 Ni
0.6535 0.3465 0.0000 Ni
0.3465 0.6535 0.0000 Ni

=====

[2]
BAsS2Br | Alexandria via LeMat-Bulk | PBE | relaxed; D(E_F) = 2.01 states/eV/cell; energy above the most stable polymorph in this dataset = 0.000 eV/atom; space group = P4/mmm, No. 123
1.0
4.7131 0.0000 0.0000
0.0000 5.4629 0.0000
0.0000 0.0000 4.7131
B S Br As
1 2 1 1
direct
0.5000 0.5000 0.5000 B
0.0000 0.0000 0.5000 S
0.5000 0.0000 0.0000 S
0.0000 0.5000 0.0000 Br
0.0000 0.0000 0.0000 As

=====

[3]
YSbW2 | Alexandria via LeMat-Bulk | PBE | relaxed; D(E_F) = 2.21 states/eV/cell; E = -35.1 eV for the cell shown; space group = C2/m, No. 12
1.0
-3.8084 2.8752 -2.2796
-3.4062 -0.0103 -4.0455
-4.2493 -1.9046 2.1443
W Y Sb
2 1 1
direct
0.9925 0.9925 0.0694 W
0.5075 0.5075 0.4306 W
0.7500 0.7500 0.7500 Y
0.2500 0.2500 0.2500 Sb

=====

[4]
HoTmPu2 | Alexandria via LeMat-Bulk | PBE | relaxed; D(E_F) = 17.44 states/eV/cell; energy above the most stable polymorph in this dataset = 0.076 eV/atom; DFT formation energy = 0.2366 eV per atom; space group = R3m, No. 160
1.0
-1.5553 2.3740 -1.8493
-1.4788 -0.8352 -2.9309
-10.9949 -1.6283 4.0540
Tm Ho Pu
1 1 2
direct
0.8312 0.8312 0.5065 Tm
0.3381 0.3381 0.9858 Ho
0.2464 0.2464 0.2608 Pu
0.0844 0.0844 0.7469 Pu

=====

[5]
LaNd10Ho4 | Alexandria via LeMat-Bulk | PBE | relaxed; D(E_F) = 27.31 states/eV/cell; DFT formation energy = 0.5008 eV per atom; space group = I4/m, No. 87
1.0
6.3003 0.0000 2.8449
3.1502 9.0440 1.4224
-0.5717 0.0000 9.6651
Ho Nd La
4 10 1
direct
0.5674 0.1095 0.7556 Ho
0.4326 0.8905 0.2444 Ho
0.3231 0.2444 0.1095 Ho
0.6769 0.7556 0.8905 Ho
0.3738 0.5831 0.1610 Nd
0.5348 0.8390 0.5831 Nd
0.6262 0.4169 0.8390 Nd
0.1178 0.4169 0.8390 Nd
0.9569 0.1610 0.4169 Nd
0.0431 0.8390 0.5831 Nd
0.7500 0.5000 0.5000 Nd
0.8822 0.5831 0.1610 Nd
0.4652 0.1610 0.4169 Nd
0.2500 0.5000 0.5000 Nd
0.0000 0.0000 0.0000 La

=====

[6]
AcPr2O | Alexandria via LeMat-Bulk | PBE | relaxed; D(E_F) = 4.76 states/eV/cell; energy above the most stable polymorph in this dataset = 0.000 eV/atom; space group = R-3m, No. 166
1.0
-0.5569 -1.3298 3.4992
1.6373 -3.2377 1.0767
7.8161 3.2451 4.5236
Pr Ac O
2 1 1
direct
0.2835 0.2835 0.1495 Pr
0.7165 0.7165 0.8505 Pr
0.5000 0.5000 0.5000 Ac
0.0000 0.0000 0.0000 O